This record from Alexandria describes a relaxed structure of HoScAl. The functional is PBE.

Computed properties:
The calculation puts the energy relative to the lowest polymorph listed for this composition at 25.8 meV per atom.

```
data_HoScAl
_cell_length_a 3.3045
_cell_length_b 3.3045
_cell_length_c 6.8931
_cell_angle_alpha 103.87
_cell_angle_beta 103.87
_cell_angle_gamma 90.00
_symmetry_space_group_name_H-M 'P 1'
_symmetry_Int_Tables_number 1
loop_
_symmetry_equiv_pos_as_xyz
'x,y,z'
loop_
_atom_site_label
_atom_site_fract_x
_atom_site_fract_y
_atom_site_fract_z
Ho1 0.0117 0.0117 0.0234
Sc1 0.3152 0.3152 0.6305
Al1 0.6731 0.6731 0.3461
```


This record from Alexandria describes a relaxed structure of Ho4Sc9Al11. The functional is PBE.

```
data_Ho4Sc9Al11
_cell_length_a 3.1428
_cell_length_b 13.1453
_cell_length_c 13.1453
_cell_angle_alpha 112.04
_cell_angle_beta 90.00
_cell_angle_gamma 90.00
_symmetry_space_group_name_H-M 'P 1'
_symmetry_Int_Tables_number 1
loop_
_symmetry_equiv_pos_as_xyz
'x,y,z'
loop_
_atom_site_label
_atom_site_fract_x
_atom_site_fract_y
_atom_site_fract_z
Al1 0.0000 0.0315 0.4090
Al2 0.0000 0.3790 0.6210
Al3 0.0000 0.5910 0.9685
Al4 0.0000 0.1879 0.1879
Al5 0.0000 0.0000 0.0000
Al6 0.0000 0.8088 0.1912
Al7 0.0000 0.6210 0.3790
Al8 0.0000 0.9685 0.5910
Al9 0.0000 0.1912 0.8088
Al10 0.0000 0.4090 0.0315
Al11 0.0000 0.8121 0.8121
Ho1 0.5000 0.2383 0.4023
Ho2 0.5000 0.4023 0.2383
Ho3 0.5000 0.7617 0.5977
Ho4 0.5000 0.5977 0.7617
Sc1 0.5000 0.7976 0.9954
Sc2 0.5000 0.5000 0.5000
Sc3 0.5000 0.3893 0.8314
Sc4 0.5000 0.1686 0.6107
Sc5 0.5000 0.9954 0.7976
Sc6 0.5000 0.2024 0.0046
Sc7 0.5000 0.6107 0.1686
Sc8 0.5000 0.0046 0.2024
Sc9 0.5000 0.8314 0.3893
```


Number 1: formation energy from the elements -0.267 eV per atom, theoretical density 5.554 g/cm³, size of the total moment 0.0 Bohr magnetons per cell. Number 2: formation energy from the elements -0.365 eV per atom, theoretical density 4.490 g/cm³, size of the total moment 0.0 Bohr magnetons per cell.